## TiPdF3 (GGA-PBEsol)

Data for a relaxed structure of TiPdF3.

Structure (extended XYZ):
```
5
Lattice="4.218 0.000 0.000 0.000 4.218 0.000 0.000 0.000 4.218" Properties=species:S:1:pos:R:3 pbc="T T T"
F 2.109 0.000 0.000
F 0.000 0.000 2.109
F 0.000 2.109 0.000
Pd 0.000 0.000 0.000
Ti 2.109 2.109 2.109
```

E   -24.1 eV for the cell shown
Crystal system   cubic
SG   Pm-3m, No. 221



## Er3Ge13Ir4 (GGA-PBEsol)

Data for a relaxed structure of Er3Ge13Ir4.

Structure (extended XYZ):
```
40
Lattice="8.897 0.000 0.000 0.000 8.897 0.000 0.000 0.000 8.897" Properties=species:S:1:pos:R:3 pbc="T T T"
Ge 5.733 4.449 7.196
Ge 4.449 7.196 3.164
Ge 2.748 0.000 7.613
Er 4.449 2.224 0.000
Ge 1.701 5.733 4.449
Ge 5.733 4.449 1.701
Ir 6.673 6.673 6.673
Ir 2.224 6.673 2.224
Ge 0.000 0.000 0.000
Ir 2.224 2.224 6.673
Ge 1.285 6.150 0.000
Ge 6.150 0.000 7.613
Ge 4.449 7.196 5.733
Ge 0.000 7.613 6.150
Ge 7.196 3.164 4.449
Er 2.224 0.000 4.449
Ge 3.164 4.449 1.701
Ge 1.285 2.748 0.000
Er 6.673 0.000 4.449
Ge 0.000 7.613 2.748
Ir 6.673 2.224 2.224
Er 0.000 4.449 2.224
Er 0.000 4.449 6.673
Ge 2.748 0.000 1.285
Ge 1.701 3.164 4.449
Er 4.449 6.673 0.000
Ge 3.164 4.449 7.196
Ge 4.449 1.701 5.733
Ge 4.449 4.449 4.449
Ge 0.000 1.285 2.748
Ge 7.613 6.150 0.000
Ge 7.196 5.733 4.449
Ge 6.150 0.000 1.285
Ir 2.224 2.224 2.224
Ir 6.673 6.673 2.224
Ge 7.613 2.748 0.000
Ir 2.224 6.673 6.673
Ge 0.000 1.285 6.150
Ge 4.449 1.701 3.164
Ir 6.673 2.224 6.673
```

E   -259.0 eV for the cell shown
ΔH_f (0 K)   -0.560 eV/atom
Crystal system   cubic
SG   Pm-3n, No. 223



## PIrW2 (GGA-PBEsol)

Data for a relaxed structure of PIrW2.

Structure (extended XYZ):
```
4
Lattice="2.941 0.000 0.000 0.000 4.482 0.000 -1.470 -2.241 4.335" Properties=species:S:1:pos:R:3 pbc="T T T"
Ir 1.470 0.000 0.000
W 1.470 2.241 1.926
W 0.000 0.000 2.409
P 0.000 2.241 0.000
```

E   -43.4 eV for the cell shown
ΔH_f (0 K)   -0.047 eV/atom
Crystal system   orthorhombic
SG   Immm, No. 71



## ReRh (GGA-PBEsol)

Data for a relaxed structure of ReRh.

Structure (extended XYZ):
```
8
Lattice="4.326 0.000 0.000 0.000 4.721 0.000 0.000 -0.022 5.443" Properties=species:S:1:pos:R:3 pbc="T T T"
Rh 0.000 2.155 1.691
Re 2.163 3.759 1.715
Rh 0.000 2.143 4.439
Rh 2.163 3.708 4.394
Re 0.000 4.514 0.340
Rh 0.000 4.520 3.068
Re 2.163 1.353 3.072
Re 2.163 1.376 0.331
```

E   -87.3 eV for the cell shown
ΔH_f (0 K)   -0.178 eV/atom
Crystal system   monoclinic
Distance to the lowest polymorph of the same formula   24.3 meV/atom
SG   Pm, No. 6



## ZnNi3P4O14 (GGA-PBEsol)

Data for a relaxed structure of ZnNi3P4O14.

Structure (extended XYZ):
```
44
Lattice="-6.574 2.603 -0.854 -2.749 -5.879 3.245 4.050 2.617 8.173" Properties=species:S:1:pos:R:3 pbc="T T T"
O -4.160 3.690 4.443
O 1.853 -1.030 9.098
O -4.783 -0.232 2.007
O -3.223 -1.845 2.893
O -2.050 1.187 7.671
O -1.783 -4.189 3.672
O -5.720 1.784 3.047
Zn -3.287 1.301 -0.427
O -1.936 2.832 5.124
O -3.603 -0.995 9.342
O -5.193 1.671 0.478
P -3.507 -1.987 8.140
P -4.670 -1.452 3.036
O -1.488 0.627 3.757
O -2.282 -2.857 8.260
P -0.602 0.794 7.528
O 0.447 -2.443 7.517
Ni -2.120 -1.650 1.202
P -1.765 1.329 2.423
P -5.753 0.995 1.736
O -3.490 3.531 6.892
P -3.473 2.848 5.522
Ni -5.832 -1.717 6.048
O -0.080 -2.330 10.086
O -1.357 -2.040 5.117
O -2.990 2.198 2.304
P 0.481 -1.654 8.828
O -0.332 0.174 6.119
O -0.490 -0.427 8.557
O -3.915 1.381 5.447
O -3.336 -3.491 5.440
Ni -3.152 0.991 9.362
Zn -2.636 -0.329 5.282
O -1.112 -4.348 6.121
Ni 0.560 1.058 4.516
Ni 0.000 0.000 0.000
O -5.751 -2.468 2.651
O 0.479 1.810 7.913
P -1.799 -3.507 5.042
O -1.669 0.336 1.221
O -3.785 -1.285 6.806
Ni 0.651 -1.631 5.709
O -4.941 -0.833 4.444
O -7.125 0.371 1.465
```

E   -306.9 eV for the cell shown
Crystal system   monoclinic
SG   P2_1/c, No. 14



## TlMoRh2 (GGA-PBEsol)

Data for a relaxed structure of TlMoRh2.

Structure (extended XYZ):
```
4
Lattice="2.859 0.000 0.000 0.000 4.803 0.000 -1.430 -0.845 4.573" Properties=species:S:1:pos:R:3 pbc="T T T"
Rh 1.430 0.824 2.244
Rh 1.430 3.821 4.553
Tl 0.000 1.443 4.556
Mo 0.000 3.384 2.366
```

E   -30.0 eV for the cell shown
ΔH_f (0 K)   0.170 eV/atom
Crystal system   monoclinic
Distance to the lowest polymorph of the same formula   114.7 meV/atom
SG   Cm, No. 8



## NaLi4H10N5 (GGA-PBEsol)

Data for a relaxed structure of NaLi4H10N5.

Structure (extended XYZ):
```
80
Lattice="-0.752 -4.413 4.806 4.433 -7.254 -4.534 9.752 1.128 5.070" Properties=species:S:1:pos:R:3 pbc="T T T"
N 5.362 -10.518 0.283
Li 1.259 -4.733 3.407
Na 5.392 -3.067 -0.004
H 10.873 -9.590 4.207
Na 1.415 -2.178 2.678
Li 7.607 -3.903 7.916
N 11.772 -9.518 4.707
Li 8.557 -10.818 2.712
Na 11.500 -7.475 5.999
Li 8.790 -5.915 1.293
N 7.869 -3.075 5.969
Li 6.140 -4.143 5.952
Li 5.340 -5.703 0.750
Li 3.286 -5.343 2.106
H 11.289 -3.346 3.475
Li 8.185 -4.612 4.619
N 3.574 -6.941 0.878
H 3.594 -7.769 -1.748
N 8.189 -9.332 4.037
H 5.494 -8.987 2.938
N 1.685 -4.271 1.433
H 10.545 -3.134 5.987
H 6.605 -6.922 2.133
H 12.304 -8.863 4.109
H 4.758 -5.162 -1.690
H 10.878 -7.428 1.259
N 4.071 -7.942 -2.646
H 3.087 -1.426 0.085
Li 8.643 -8.372 2.029
N 5.683 -5.167 -1.234
H 6.806 -6.388 5.402
Li 7.321 -6.207 -0.660
H 3.670 -0.830 1.738
H 6.024 -1.284 2.713
Na 8.198 -2.074 3.762
H 6.274 -10.383 0.745
H 3.677 -2.895 4.811
H 9.282 -5.761 6.122
H 9.170 -3.609 2.023
H 2.285 -3.676 0.838
Li 14.175 -6.130 0.538
H 3.611 -1.066 3.328
H 3.960 -7.577 1.596
N 4.963 -4.188 2.136
N 8.588 -4.224 2.616
Li 11.560 -4.906 5.296
H 2.966 -5.170 -1.343
N 3.185 -0.491 2.582
H 7.690 -4.237 2.108
Li 12.107 -5.683 1.846
Li 4.612 -4.821 4.142
H 5.862 -4.007 2.609
N 7.078 -7.023 1.222
H 4.030 -7.281 0.017
H 4.466 -3.290 2.259
H 10.676 -7.565 2.844
H 7.578 -8.519 4.216
H 4.889 -9.614 0.452
H 10.354 -1.064 4.558
Li 5.841 -6.858 -2.541
H 9.836 -5.235 7.795
H 6.078 -0.221 3.922
N 11.803 -4.223 3.288
H 8.785 -2.875 6.399
N 10.353 -7.003 2.039
N 2.885 -5.955 4.026
H 13.426 -7.725 2.137
H 6.784 -6.033 3.827
N 6.526 -0.434 3.018
N 6.366 -5.743 4.724
H 7.348 -2.201 6.156
H 2.512 -6.846 3.657
H 9.307 -6.803 4.899
H 5.190 -2.358 4.802
N 9.291 -4.867 8.589
H 9.065 -9.051 4.505
H 6.651 -7.885 0.844
Li 10.128 -5.370 3.300
N 9.757 -5.930 5.222
N 4.550 -2.946 5.360
```

E   -381.4 eV for the cell shown
Crystal system   triclinic
SG   P1, No. 1



## AgGe3S (GGA-PBEsol)

Data for a relaxed structure of AgGe3S.

Structure (extended XYZ):
```
5
Lattice="-4.679 1.140 0.813 0.317 -1.902 4.488 1.364 4.352 1.748" Properties=species:S:1:pos:R:3 pbc="T T T"
Ge 0.682 2.176 0.874
S -1.499 1.795 3.525
Ag 0.000 0.000 0.000
Ge -2.340 0.570 0.407
Ge 0.158 -0.951 2.244
```

E   -18.6 eV for the cell shown
Crystal system   cubic
SG   Pm-3m, No. 221



## CuAs2IrSe (GGA-PBEsol)

Data for a relaxed structure of CuAs2IrSe.

Structure (extended XYZ):
```
5
Lattice="-0.585 -0.720 -4.508 2.449 -3.885 0.303 -4.454 -2.728 1.014" Properties=species:S:1:pos:R:3 pbc="T T T"
As 1.224 -1.942 0.151
Se -2.227 -1.364 0.507
Cu -1.295 -3.667 -1.596
As -0.292 -0.360 -2.254
Ir 0.000 0.000 0.000
```

E   -24.0 eV for the cell shown
Crystal system   tetragonal
SG   P4/mmm, No. 123



## CrAu4 (GGA-PBEsol)

Data for a relaxed structure of CrAu4.

Structure (extended XYZ):
```
5
Lattice="-0.766 -2.858 -2.679 0.271 -4.586 1.841 -4.779 -1.257 -0.266" Properties=species:S:1:pos:R:3 pbc="T T T"
Au -3.265 -6.725 -0.811
Au -1.229 -4.722 -0.558
Au -4.046 -3.979 -0.545
Cr 0.000 0.000 0.000
Au -2.010 -1.975 -0.292
```

E   -25.7 eV for the cell shown
ΔH_f (0 K)   0.055 eV/atom
Crystal system   tetragonal
SG   I4/m, No. 87



## Sr2CoP (GGA-PBEsol)

Data for a relaxed structure of Sr2CoP.

Structure (extended XYZ):
```
4
Lattice="4.333 0.000 0.000 0.000 4.333 0.000 0.000 0.000 6.101" Properties=species:S:1:pos:R:3 pbc="T T T"
Co 0.000 0.000 2.290
Sr 0.000 0.000 5.339
Sr 2.166 2.166 2.287
P 2.166 2.166 5.337
```

E   -16.6 eV for the cell shown
ΔH_f (0 K)   0.159 eV/atom
Crystal system   tetragonal
SG   P4/mmm, No. 123



## SrRu3 (GGA-PBEsol)

Data for a relaxed structure of SrRu3.

Structure (extended XYZ):
```
4
Lattice="2.801 0.000 0.000 -1.401 2.426 0.000 0.000 0.000 9.530" Properties=species:S:1:pos:R:3 pbc="T T T"
Ru 0.000 1.617 0.000
Sr 0.000 1.617 4.765
Ru 0.000 0.000 7.510
Ru 0.000 0.000 2.020
```

E   -29.4 eV for the cell shown
ΔH_f (0 K)   0.731 eV/atom
Crystal system   hexagonal
SG   P-6m2, No. 187



## AlGaCu2Te (GGA-PBEsol)

Data for a relaxed structure of AlGaCu2Te.

Structure (extended XYZ):
```
5
Lattice="4.460 0.000 0.000 0.000 4.460 0.000 0.000 0.000 5.578" Properties=species:S:1:pos:R:3 pbc="T T T"
Te 0.000 0.000 2.789
Al 2.230 2.230 2.789
Cu 2.230 0.000 0.000
Cu 0.000 2.230 0.000
Ga 0.000 0.000 0.000
```

E   -16.4 eV for the cell shown
Crystal system   tetragonal
SG   P4/mmm, No. 123



## LiCr2F (GGA-PBEsol)

Data for a relaxed structure of LiCr2F.

Structure (extended XYZ):
```
8
Lattice="-2.524 1.577 0.440 0.429 -0.143 2.975 7.491 9.713 -2.134" Properties=species:S:1:pos:R:3 pbc="T T T"
Li 1.960 6.004 0.007
Cr 0.082 3.657 2.447
Cr 4.102 8.250 -0.904
Cr 5.564 7.395 0.264
Cr 1.045 2.992 0.754
Li -1.048 0.717 1.707
F 0.000 0.000 0.000
F 3.436 5.143 1.274
```

E   -50.0 eV for the cell shown
Crystal system   tetragonal
SG   I-42d, No. 122



## MnAl2Sb (GGA-PBEsol)

Data for a relaxed structure of MnAl2Sb.

Structure (extended XYZ):
```
4
Lattice="-3.800 -0.912 1.234 -1.217 -0.215 -3.908 3.454 -3.473 1.264" Properties=species:S:1:pos:R:3 pbc="T T T"
Sb -0.136 -2.125 -1.990
Al 0.000 0.000 0.000
Al -1.428 -2.474 0.581
Mn -2.509 -0.563 -1.337
```

E   -21.6 eV for the cell shown
Crystal system   tetragonal
SG   I-4m2, No. 119



## CaFe2Pt (GGA-PBEsol)

Data for a relaxed structure of CaFe2Pt.

Structure (extended XYZ):
```
4
Lattice="-1.795 -0.786 -1.865 -2.149 -1.955 4.165 -0.298 5.139 -0.552" Properties=species:S:1:pos:R:3 pbc="T T T"
Pt -0.898 -0.393 -0.933
Ca -1.074 -0.978 2.082
Fe -2.121 1.199 0.874
Fe -0.149 2.569 -0.276
```

E   -26.0 eV for the cell shown
ΔH_f (0 K)   0.268 eV/atom
Crystal system   monoclinic
SG   C2/m, No. 12



## RbSi3Hg (GGA-PBEsol)

Data for a relaxed structure of RbSi3Hg.

Structure (extended XYZ):
```
5
Lattice="-5.338 0.301 -1.101 -1.097 -2.805 4.552 -0.315 4.673 2.804" Properties=species:S:1:pos:R:3 pbc="T T T"
Rb 0.000 0.000 0.000
Hg -3.375 1.084 3.127
Si -0.549 -1.403 2.276
Si -0.158 2.336 1.402
Si -2.669 0.150 -0.551
```

E   -7.9 eV for the cell shown
Crystal system   cubic
SG   Pm-3m, No. 221



## Ba3PtCl (GGA-PBEsol)

Data for a relaxed structure of Ba3PtCl.

Structure (extended XYZ):
```
5
Lattice="-5.787 0.071 2.004 -1.150 -5.132 -3.139 1.643 -3.342 4.862" Properties=species:S:1:pos:R:3 pbc="T T T"
Ba -2.893 0.035 1.002
Pt 0.000 0.000 0.000
Cl -2.647 -4.202 1.864
Ba -0.575 -2.566 -1.569
Ba 0.822 -1.671 2.431
```

E   -18.8 eV for the cell shown
Crystal system   cubic
SG   Pm-3m, No. 221



## RbReO3 (GGA-PBEsol)

Data for a relaxed structure of RbReO3.

Structure (extended XYZ):
```
5
Lattice="-3.268 -2.467 -1.210 2.642 -2.303 -2.440 0.757 -2.616 3.289" Properties=species:S:1:pos:R:3 pbc="T T T"
O 0.379 -1.308 1.645
Rb 0.000 0.000 0.000
Re 0.065 -3.693 -0.180
O -1.634 -1.234 -0.605
O 1.321 -1.151 -1.220
```

E   -20.3 eV for the cell shown
Crystal system   cubic
SG   Pm-3m, No. 221



## Mg3Sc (GGA-PBEsol)

Data for a relaxed structure of Mg3Sc.

Structure (extended XYZ):
```
16
Lattice="-0.333 -2.269 5.002 4.283 -4.440 -1.729 7.649 6.104 3.277" Properties=species:S:1:pos:R:3 pbc="T T T"
Mg 6.419 -0.337 1.846
Sc 6.067 2.720 5.146
Mg 7.293 -2.549 3.927
Mg 8.982 2.767 6.334
Sc 5.532 -3.325 1.404
Mg 3.491 -5.583 2.298
Mg 8.188 0.513 4.308
Mg 4.306 1.944 2.623
Mg 2.617 -3.371 0.217
Sc 7.328 2.720 2.203
Mg 3.412 -1.117 2.242
Mg 8.108 4.979 4.252
Mg 2.111 -1.075 5.201
Sc 4.271 -3.324 4.347
Mg 5.180 -0.268 4.705
Mg 9.488 0.471 1.349
```

E   -47.1 eV for the cell shown
ΔH_f (0 K)   -0.002 eV/atom
Crystal system   orthorhombic
SG   Pnma, No. 62